Model one:
This record from the Open Quantum Materials Database describes crystalline Pt2Br at its relaxed geometry. The functional is PBE.

Lattice parameters (Å, degrees): 7.6235 7.6235 7.6235 60.00 60.00 60.00
Closest atoms and distances in Å follow each position.
Fractional positions:
Pt1 0.0000 0.0000 0.0000  2 Br 2.33
Pt2 0.0000 0.0000 0.5000  2 Br 2.33
Pt3 0.0000 0.5000 0.0000  2 Br 2.33
Pt4 0.5000 0.0000 0.0000  2 Br 2.33
Br1 0.1250 0.1250 0.1250  4 Pt 2.33
Br2 0.8750 0.8750 0.8750  4 Pt 2.33

- total magnetic moment (μB per formula unit) = 0.4
- SG = Fd-3m


Model two:
This record from the Open Quantum Materials Database describes crystalline Pt2Br at its relaxed geometry. The functional is PBE.

Lattice parameters (Å, degrees): 5.4300 5.4300 5.4300 60.00 60.00 60.00
Closest atoms and distances in Å follow each position.
Fractional positions:
Pt1 0.0000 0.0000 0.0000  6 Pt 2.72
Pt2 0.0000 0.0000 0.5000  6 Pt 2.72
Pt3 0.0000 0.5000 0.0000  6 Pt 2.72
Pt4 0.5000 0.0000 0.0000  6 Pt 2.72
Br1 0.3750 0.3750 0.3750  12 Pt 3.18, 4 Br 3.33
Br2 0.6250 0.6250 0.6250  12 Pt 3.18, 4 Br 3.33

- total magnetic moment (μB per formula unit) = 0.0
- SG = Fd-3m


Verdict on stability: model two comes out on top.


Model one:
This record from the Open Quantum Materials Database describes crystalline Rb3TbBr6 at its relaxed geometry. The functional is PBE.

Lattice parameters (Å, degrees): 8.2130 8.2130 8.2130 62.43 62.43 62.43
Closest atoms and distances in Å follow each position.
Fractional positions:
Rb1 0.0000 0.0000 0.0000  6 Br 3.37
Rb2 0.2749 0.2749 0.2749  6 Br 3.43-3.63
Rb3 0.7251 0.7251 0.7251  6 Br 3.43-3.63
Tb1 0.5000 0.5000 0.5000  6 Br 2.81
Br1 0.1706 0.3769 0.7048  1 Tb 2.81
Br2 0.2952 0.8294 0.6231  1 Tb 2.81
Br3 0.3769 0.7048 0.1706  1 Tb 2.81
Br4 0.6231 0.2952 0.8294  1 Tb 2.81
Br5 0.7048 0.1706 0.3769  1 Tb 2.81
Br6 0.8294 0.6231 0.2952  1 Tb 2.81

- total magnetic moment (μB per formula unit) = 0.0
- SG = R-3


Model two:
This record from the Open Quantum Materials Database describes crystalline Rb3TbBr6 at its relaxed geometry. The functional is PBE.

Lattice parameters (Å, degrees): 8.1026 8.6030 13.9655 90.00 124.27 90.00
Closest atoms and distances in Å follow each position.
Fractional positions:
Rb1 0.0000 0.0000 0.0000  6 Br 3.35-3.44
Rb2 0.0000 0.5000 0.5000  6 Br 3.35-3.44
Rb3 0.2146 0.0747 0.7437  6 Br 3.44-3.72
Rb4 0.2146 0.4253 0.2437  6 Br 3.44-3.72
Rb5 0.7854 0.5747 0.7563  6 Br 3.44-3.72
Rb6 0.7854 0.9253 0.2563  6 Br 3.44-3.72
Tb1 0.5000 0.0000 0.5000  6 Br 2.82-2.84
Tb2 0.5000 0.5000 0.0000  6 Br 2.82-2.84
Br1 0.1656 0.1781 0.4453  1 Tb 2.82
Br2 0.1656 0.3219 0.9453  1 Tb 2.82
Br3 0.2613 0.7279 0.4263  1 Tb 2.84
Br4 0.2613 0.7721 0.9263  1 Tb 2.84
Br5 0.4010 0.0514 0.2743  1 Tb 2.82
Br6 0.4010 0.4486 0.7743  1 Tb 2.82
Br7 0.5990 0.5514 0.2257  1 Tb 2.82
Br8 0.5990 0.9486 0.7257  1 Tb 2.82
Br9 0.7387 0.2279 0.0737  1 Tb 2.84
Br10 0.7387 0.2721 0.5737  1 Tb 2.84
Br11 0.8344 0.6781 0.0547  1 Tb 2.82
Br12 0.8344 0.8219 0.5547  1 Tb 2.82

- total magnetic moment (μB per formula unit) = 0.0
- SG = P2_1/c


Verdict on stability: model two comes out on top.